A plane-wave DFT calculation with GGA-PBE was carried out for a relaxed ErCdCu crystal.

The structure in extended XYZ format:
```
18
Lattice="13.0064 0.0000 0.0000 0.0000 3.8199 0.0000 0.0000 0.0000 7.5235" Properties=species:S:1:pos:R:3 pbc="T T T"
Er 0.5886 0.0000 1.7284
Er 3.2516 0.0000 6.3710
Er 5.9146 0.0000 1.7284
Er 7.0918 0.0000 5.7951
Er 9.7548 0.0000 1.1525
Er 12.4178 0.0000 5.7951
Cd 1.5122 1.9099 4.2770
Cd 3.2516 1.9099 1.4580
Cd 4.9910 1.9099 4.2770
Cd 8.0154 1.9099 3.2465
Cd 9.7548 1.9099 6.0655
Cd 11.4942 1.9099 3.2465
Cu 1.1865 1.9099 7.1049
Cu 3.2516 0.0000 3.3775
Cu 5.3167 1.9099 7.1049
Cu 7.6898 1.9099 0.4186
Cu 9.7548 0.0000 4.1460
Cu 11.8199 1.9099 0.4186
```

## Properties
- formation energy from the elements (meV/atom) = -302

A plane-wave DFT calculation with GGA-PBE was carried out for a relaxed Er5CdCu4 crystal.

The structure in extended XYZ format:
```
10
Lattice="3.4412 0.0000 0.0000 0.0000 3.4412 0.0000 0.0000 0.0000 18.0037" Properties=species:S:1:pos:R:3 pbc="T T T"
Er 0.0000 0.0000 0.0000
Er 0.0000 0.0000 3.4388
Er 0.0000 0.0000 6.8534
Er 0.0000 0.0000 11.1504
Er 0.0000 0.0000 14.5650
Cd 1.7206 1.7206 9.0019
Cu 1.7206 1.7206 1.7184
Cu 1.7206 1.7206 5.1874
Cu 1.7206 1.7206 12.8163
Cu 1.7206 1.7206 16.2853
```

## Properties
- formation energy from the elements (meV/atom) = -282

A plane-wave DFT calculation with GGA-PBE was carried out for a relaxed ErCdCu5 crystal.

The structure in extended XYZ format:
```
28
Lattice="8.2451 0.0000 0.0000 0.0000 5.0090 0.0000 0.0000 0.0000 10.4841" Properties=species:S:1:pos:R:3 pbc="T T T"
Er 2.0462 1.2522 0.6793
Er 2.0763 3.7567 5.9214
Er 6.1687 1.2522 4.5627
Er 6.1989 3.7567 9.8048
Cd 1.1132 3.7567 9.0565
Cd 3.0093 1.2522 3.8144
Cd 5.2358 3.7567 6.6697
Cd 7.1319 1.2522 1.4276
Cu 0.4362 3.7567 1.1141
Cu 0.5623 0.0121 3.2896
Cu 0.5623 2.4924 3.2896
Cu 0.7030 1.2522 5.4167
Cu 1.5399 1.2522 7.7710
Cu 2.5827 3.7567 2.5290
Cu 3.4196 3.7567 0.1746
Cu 3.5603 2.5165 8.5317
Cu 3.5603 4.9969 8.5317
Cu 3.6864 1.2522 6.3562
Cu 4.5587 3.7567 4.1279
Cu 4.6848 0.0121 1.9524
Cu 4.6848 2.4924 1.9524
Cu 4.8255 1.2522 10.3095
Cu 5.6624 1.2522 7.9552
Cu 6.7052 3.7567 2.7131
Cu 7.5421 3.7567 5.0674
Cu 7.6828 2.5165 7.1945
Cu 7.6828 4.9969 7.1945
Cu 7.8089 1.2522 9.3700
```

## Properties
- formation energy from the elements (meV/atom) = -178

A plane-wave DFT calculation with GGA-PBE was carried out for a relaxed ErCd3Cu8 crystal.

The structure in extended XYZ format:
```
12
Lattice="2.5304 1.4609 8.2837 -2.5304 1.4609 8.2837 0.0000 -2.9218 8.2837" Properties=species:S:1:pos:R:3 pbc="T T T"
Er 0.0000 0.0000 0.0000
Cd 0.0000 0.0000 3.1708
Cd 0.0000 0.0000 12.4143
Cd 0.0000 0.0000 15.4334
Cu 0.0000 -1.4607 5.6862
Cu -1.2650 0.7303 5.6862
Cu -1.2652 -0.7304 9.8531
Cu 0.0000 0.0000 7.7601
Cu 1.2650 0.7303 5.6862
Cu 1.2652 -0.7304 9.8531
Cu 0.0000 1.4609 9.8531
Cu 0.0000 0.0000 20.1949
```

## Properties
- formation energy from the elements (meV/atom) = -111